Entry from Alexandria via LeMat-Bulk: an optimized crystal structure of SrAsAu2 (PBE).

- DOS(E_F) (states/eV per cell) = 7.36
- formation energy from the elements (eV/atom) = -0.444

Cell and atoms, written as CIF:
```
data_SrAsAu2
_symmetry_space_group_name_H-M 'I -4 2 d'
_symmetry_Int_Tables_number 122
_symmetry_space_group_name_Hall 'I -4 2bw'
_cell_length_a 5.134
_cell_length_b 5.134
_cell_length_c 17.364
_cell_angle_alpha 90.00
_cell_angle_beta 90.00
_cell_angle_gamma 90.00
loop_
_atom_site_label
_atom_site_fract_x
_atom_site_fract_y
_atom_site_fract_z
_atom_site_occupancy
Sr1 0.000 0.000 0.000 1
As1 0.000 0.000 0.500 1
Au1 0.108 0.250 0.625 1
```



Entry from Alexandria via LeMat-Bulk: an optimized crystal structure of TaTi3In2 (PBE).

- DOS(E_F) (states/eV per cell) = 24.70
- E above lowest polymorph (meV per atom) = 48
- formation energy from the elements (eV/atom) = -0.083

Cell and atoms, written as CIF:
```
data_TaTi3In2
_symmetry_space_group_name_H-M 'C m m m'
_symmetry_Int_Tables_number 65
_symmetry_space_group_name_Hall '-C 2 2'
_cell_length_a 4.063
_cell_length_b 12.992
_cell_length_c 8.559
_cell_angle_alpha 90.00
_cell_angle_beta 90.00
_cell_angle_gamma 90.00
loop_
_atom_site_label
_atom_site_fract_x
_atom_site_fract_y
_atom_site_fract_z
_atom_site_occupancy
Ta1 0.000 0.168 0.000 1
Ti1 0.000 0.000 0.242 1
Ti2 0.000 0.332 0.236 1
In1 0.000 0.167 0.500 1
In2 0.000 0.500 0.000 1
In3 0.000 0.500 0.500 1
```



Entry from Alexandria via LeMat-Bulk: an optimized crystal structure of KPu2HgCl8 (PBE).

- DOS(E_F) (states/eV per cell) = 16.05
- uncorrected energy (Ry per atom) = -0.3953

Cell and atoms, written as CIF:
```
data_KPu2HgCl8
_symmetry_space_group_name_H-M 'P -1'
_symmetry_Int_Tables_number 2
_symmetry_space_group_name_Hall '-P 1'
_cell_length_a 6.844
_cell_length_b 7.688
_cell_length_c 8.341
_cell_angle_alpha 89.82
_cell_angle_beta 89.79
_cell_angle_gamma 87.90
loop_
_atom_site_label
_atom_site_fract_x
_atom_site_fract_y
_atom_site_fract_z
_atom_site_occupancy
K1 0.000 0.000 0.000 1
Pu1 0.500 0.500 0.249 1
Hg1 0.000 0.000 0.500 1
Cl1 0.281 0.377 0.001 1
Cl2 0.284 0.387 0.501 1
Cl3 0.295 0.787 0.238 1
Cl4 0.295 0.788 0.761 1
```



Entry from Alexandria via LeMat-Bulk: an optimized crystal structure of PmPuThN3 (PBE).

- DOS(E_F) (states/eV per cell) = 13.54
- uncorrected energy (Ry per atom) = -0.7195

Cell and atoms, written as CIF:
```
data_PmPuThN3
_symmetry_space_group_name_H-M 'P 1 21/m 1'
_symmetry_Int_Tables_number 11
_symmetry_space_group_name_Hall '-P 2yb'
_cell_length_a 7.199
_cell_length_b 3.490
_cell_length_c 8.826
_cell_angle_alpha 90.00
_cell_angle_beta 96.44
_cell_angle_gamma 90.00
loop_
_atom_site_label
_atom_site_fract_x
_atom_site_fract_y
_atom_site_fract_z
_atom_site_occupancy
Pm1 0.106 0.250 0.345 1
Pu1 0.192 0.250 0.954 1
Th1 0.399 0.750 0.653 1
N1 0.113 0.750 0.097 1
N2 0.156 0.250 0.639 1
N3 0.371 0.750 0.398 1
```



Entry from Alexandria via LeMat-Bulk: an optimized crystal structure of Sr4Cd2Ni (PBE).

- DOS(E_F) (states/eV per cell) = 11.87
- formation energy from the elements (eV/atom) = -0.075

Cell and atoms, written as CIF:
```
data_Sr4Cd2Ni
_symmetry_space_group_name_H-M 'I 4/m m m'
_symmetry_Int_Tables_number 139
_symmetry_space_group_name_Hall '-I 4 2'
_cell_length_a 5.608
_cell_length_b 5.608
_cell_length_c 17.383
_cell_angle_alpha 90.00
_cell_angle_beta 90.00
_cell_angle_gamma 90.00
loop_
_atom_site_label
_atom_site_fract_x
_atom_site_fract_y
_atom_site_fract_z
_atom_site_occupancy
Sr1 0.000 0.000 0.175 1
Sr2 0.000 0.500 0.000 1
Cd1 0.000 0.000 0.373 1
Ni1 0.000 0.000 0.000 1
```



Entry from Alexandria via LeMat-Bulk: an optimized crystal structure of Sr2CaCr (PBE).

- DOS(E_F) (states/eV per cell) = 23.23
- E above lowest polymorph (meV per atom) = 201
- formation energy from the elements (eV/atom) = 0.601

Cell and atoms, written as CIF:
```
data_Sr2CaCr
_symmetry_space_group_name_H-M 'I -4 2 d'
_symmetry_Int_Tables_number 122
_symmetry_space_group_name_Hall 'I -4 2bw'
_cell_length_a 9.723
_cell_length_b 9.723
_cell_length_c 7.121
_cell_angle_alpha 90.00
_cell_angle_beta 90.00
_cell_angle_gamma 90.00
loop_
_atom_site_label
_atom_site_fract_x
_atom_site_fract_y
_atom_site_fract_z
_atom_site_occupancy
Sr1 0.194 0.250 0.125 1
Ca1 0.000 0.000 0.500 1
Cr1 0.000 0.000 0.000 1
```



Entry from Alexandria via LeMat-Bulk: an optimized crystal structure of ZrPb2Se (PBE).

- DOS(E_F) (states/eV per cell) = 3.57
- uncorrected energy (Ry per atom) = -0.3917

Cell and atoms, written as CIF:
```
data_ZrPb2Se
_symmetry_space_group_name_H-M 'P 4 m m'
_symmetry_Int_Tables_number 99
_symmetry_space_group_name_Hall 'P 4 -2'
_cell_length_a 3.490
_cell_length_b 3.490
_cell_length_c 8.537
_cell_angle_alpha 90.00
_cell_angle_beta 90.00
_cell_angle_gamma 90.00
loop_
_atom_site_label
_atom_site_fract_x
_atom_site_fract_y
_atom_site_fract_z
_atom_site_occupancy
Zr1 0.000 0.000 0.000 1
Pb1 0.000 0.000 0.556 1
Pb2 0.500 0.500 0.262 1
Se1 0.500 0.500 0.855 1
```



Entry from Alexandria via LeMat-Bulk: an optimized crystal structure of LaSnW3 (PBE).

- DOS(E_F) (states/eV per cell) = 6.68
- E above lowest polymorph (meV per atom) = 808
- formation energy from the elements (eV/atom) = 2.839

Cell and atoms, written as CIF:
```
data_LaSnW3
_symmetry_space_group_name_H-M 'P m -3 m'
_symmetry_Int_Tables_number 221
_symmetry_space_group_name_Hall '-P 4 2 3'
_cell_length_a 4.918
_cell_length_b 4.918
_cell_length_c 4.918
_cell_angle_alpha 90.00
_cell_angle_beta 90.00
_cell_angle_gamma 90.00
loop_
_atom_site_label
_atom_site_fract_x
_atom_site_fract_y
_atom_site_fract_z
_atom_site_occupancy
La1 0.000 0.000 0.000 1
Sn1 0.500 0.500 0.500 1
W1 0.000 0.000 0.500 1
```



Entry from Alexandria via LeMat-Bulk: an optimized crystal structure of SrBi2P (PBE).

- DOS(E_F) (states/eV per cell) = 9.62
- formation energy from the elements (eV/atom) = -0.221

Cell and atoms, written as CIF:
```
data_SrBi2P
_symmetry_space_group_name_H-M 'I -4 2 d'
_symmetry_Int_Tables_number 122
_symmetry_space_group_name_Hall 'I -4 2bw'
_cell_length_a 9.189
_cell_length_b 9.189
_cell_length_c 6.108
_cell_angle_alpha 90.00
_cell_angle_beta 90.00
_cell_angle_gamma 90.00
loop_
_atom_site_label
_atom_site_fract_x
_atom_site_fract_y
_atom_site_fract_z
_atom_site_occupancy
Sr1 0.000 0.000 0.000 1
Bi1 0.183 0.250 0.625 1
P1 0.000 0.000 0.500 1
```



Entry from Alexandria via LeMat-Bulk: an optimized crystal structure of TaTc2Se (PBE).

- DOS(E_F) (states/eV per cell) = 4.09
- uncorrected energy (Ry per atom) = -0.6479

Cell and atoms, written as CIF:
```
data_TaTc2Se
_symmetry_space_group_name_H-M 'P 1 2/m 1'
_symmetry_Int_Tables_number 10
_symmetry_space_group_name_Hall '-P 2y'
_cell_length_a 3.007
_cell_length_b 4.369
_cell_length_c 4.922
_cell_angle_alpha 90.00
_cell_angle_beta 96.72
_cell_angle_gamma 90.00
loop_
_atom_site_label
_atom_site_fract_x
_atom_site_fract_y
_atom_site_fract_z
_atom_site_occupancy
Ta1 0.000 0.000 0.000 1
Tc1 0.313 0.500 0.750 1
Se1 0.500 0.000 0.500 1
```



Entry from Alexandria via LeMat-Bulk: an optimized crystal structure of TbErTm2As4 (PBE).

- DOS(E_F) (states/eV per cell) = 1.08
- formation energy from the elements (eV/atom) = -1.517

Cell and atoms, written as CIF:
```
data_TbErTm2As4
_symmetry_space_group_name_H-M 'P 1 2/m 1'
_symmetry_Int_Tables_number 10
_symmetry_space_group_name_Hall '-P 2y'
_cell_length_a 7.077
_cell_length_b 4.088
_cell_length_c 7.078
_cell_angle_alpha 90.00
_cell_angle_beta 109.47
_cell_angle_gamma 90.00
loop_
_atom_site_label
_atom_site_fract_x
_atom_site_fract_y
_atom_site_fract_z
_atom_site_occupancy
Tb1 0.000 0.000 0.000 1
Er1 0.000 0.500 0.500 1
Tm1 0.500 0.000 0.500 1
Tm2 0.500 0.500 0.000 1
As1 0.252 0.000 0.749 1
As2 0.254 0.500 0.253 1
```



Entry from Alexandria via LeMat-Bulk: an optimized crystal structure of NaTlGeCl4 (PBE).

- DOS(E_F) (states/eV per cell) = 0.00
- uncorrected energy (Ry per atom) = -0.2463

Cell and atoms, written as CIF:
```
data_NaTlGeCl4
_symmetry_space_group_name_H-M 'P 1 21/m 1'
_symmetry_Int_Tables_number 11
_symmetry_space_group_name_Hall '-P 2yb'
_cell_length_a 8.290
_cell_length_b 6.791
_cell_length_c 8.937
_cell_angle_alpha 90.00
_cell_angle_beta 108.10
_cell_angle_gamma 90.00
loop_
_atom_site_label
_atom_site_fract_x
_atom_site_fract_y
_atom_site_fract_z
_atom_site_occupancy
Na1 0.111 0.250 0.418 1
Tl1 0.193 0.750 0.041 1
Ge1 0.394 0.750 0.689 1
Cl1 0.160 0.250 0.132 1
Cl2 0.190 0.502 0.688 1
Cl3 0.355 0.750 0.421 1
```